Crystalline MgFeTeI2 at its relaxed geometry, computed with PBE-GGA.

Calculated values
Final energy   -15.25 eV for the cell shown
Fermi-level density of states   1.20 states/eV/atom
Energy relative to the lowest polymorph listed for this composition   0.0 kJ per mole of atoms
Formation energy without anion corrections   0.210 eV/atom

Cell and atoms, written as CIF:
```
data_MgFeTeI2
_chemical_formula_sum 'Mg1 Fe1 Te1 I2'
_cell_length_a 5.458
_cell_length_b 5.458
_cell_length_c 4.889
_cell_angle_alpha 90.00
_cell_angle_beta 90.00
_cell_angle_gamma 90.00
_symmetry_space_group_name_H-M 'P 4/m m m'
_symmetry_Int_Tables_number 123
_symmetry_space_group_name_Hall '-P 4 2'
loop_
_atom_site_label
_atom_site_type_symbol
_atom_site_fract_x
_atom_site_fract_y
_atom_site_fract_z
Mg1 Mg 0.000 0.000 0.000
Fe1 Fe 0.500 0.500 0.500
Te1 Te 0.500 0.500 0.000
I1 I 0.000 0.500 0.500
```